This record from the Alexandria database describes a relaxed Tb2Mg5Ag crystal. The functional is GGA-PBEsol.

a = 8.675 Å, b = 8.675 Å, c = 8.675 Å
α = 33.73°, β = 33.73°, γ = 33.73°
Fractional coordinates of all 8 atoms:
Tb  0.246  0.246  0.246
Tb  0.754  0.754  0.754
Mg  0.120  0.120  0.120
Mg  0.371  0.371  0.371
Mg  0.500  0.500  0.500
Mg  0.629  0.629  0.629
Mg  0.880  0.880  0.880
Ag  0.000  0.000  0.000

Energy of formation, eV/atom: -0.08